Record 1
Computed, not measured: KPrP4O12 at its PBEsol-relaxed geometry at the meta-GGA SCAN level of DFT.

Results
For the energy above the most stable polymorph in this dataset, the calculation gives 0 meV/atom. Its space group is No. 4. For the raw total energy, the calculation gives -12.058 eV per atom. Its formation energy without anion corrections is -2.7232 eV/atom.

a = 7.3243 Å, b = 8.4960 Å, c = 8.0506 Å
α = 90.00°, β = 91.91°, γ = 90.00°
Positions (direct):
K1 0.2310 0.0000 0.2806
K2 0.7690 0.5000 0.7194
Pr1 0.2644 0.6814 0.7571
Pr2 0.7356 0.1814 0.2429
P1 0.0671 0.0575 0.9020
P2 0.1204 0.4291 0.3965
P3 0.3989 0.2601 0.8950
P4 0.4987 0.0322 0.6179
P5 0.5013 0.5322 0.3821
P6 0.6011 0.7601 0.1050
P7 0.8796 0.9291 0.6035
P8 0.9329 0.5575 0.0980
O1 0.0356 0.2747 0.3498
O2 0.0439 0.5649 0.2730
O3 0.0615 0.5889 0.9610
O4 0.1086 0.4883 0.5706
O5 0.1853 0.9150 0.9253
O6 0.1878 0.2126 0.8735
O7 0.3299 0.4191 0.3448
O8 0.3304 0.9318 0.6119
O9 0.4161 0.4211 0.8224
O10 0.4647 0.2291 0.0702
O11 0.4703 0.6327 0.5315
O12 0.4912 0.6373 0.2172
O13 0.5088 0.1373 0.7828
O14 0.5297 0.1327 0.4685
O15 0.5353 0.7291 0.9298
O16 0.5839 0.9211 0.1776
O17 0.6696 0.4318 0.3881
O18 0.6701 0.9191 0.6552
O19 0.8122 0.7126 0.1265
O20 0.8147 0.4150 0.0747
O21 0.8914 0.9883 0.4294
O22 0.9385 0.0889 0.0390
O23 0.9561 0.0649 0.7270
O24 0.9644 0.7747 0.6502

Record 2
Computed, not measured: Be5Au at its PBEsol-relaxed geometry at the meta-GGA SCAN level of DFT.

Results
For the energy above the most stable polymorph in this dataset, the calculation gives 110 meV/atom. Its space group is No. 65. For the raw total energy, the calculation gives -15.274 eV per atom.

a = 5.3983 Å, b = 5.3983 Å, c = 3.3504 Å
α = 90.00°, β = 90.00°, γ = 143.64°
Positions (direct):
Be1 0.0000 0.0000 0.0000
Be2 0.1749 0.8251 0.5000
Be3 0.3204 0.6796 0.0000
Be4 0.6796 0.3204 0.0000
Be5 0.8251 0.1749 0.5000
Au1 0.5000 0.5000 0.5000

> raw total energy of number 2 (Be5Au)?

-15.274 eV per atom